Record 1
Here is a relaxed Zr3Cd2Pd8 crystal from the Alexandria database. Energies are from GGA-PBE.

a b c (Å): 5.3356 5.3356 10.3295
angles (deg): 75.03 75.03 60.00
Atoms (fractional coordinates):
Cd (0.6335, 0.6335, 0.0994)
Cd (0.3665, 0.3665, 0.9006)
Pd (0.7779, 0.2765, 0.6691)
Pd (0.2765, 0.2765, 0.6691)
Pd (0.2221, 0.7235, 0.3309)
Pd (0.2784, 0.2784, 0.1648)
Pd (0.7235, 0.7235, 0.3309)
Pd (0.7216, 0.7216, 0.8352)
Pd (0.2765, 0.7779, 0.6691)
Pd (0.7235, 0.2221, 0.3309)
Zr (0.0000, 0.0000, 0.0000)
Zr (0.8102, 0.8102, 0.5694)
Zr (0.1898, 0.1898, 0.4306)

Output
formation energy from the elements = -4.582 eV/f.u.
symmetry = R-3m

Record 2
Here is a relaxed GaGeCl4 crystal from the Alexandria database. Energies are from GGA-PBE.

a b c (Å): 6.3738 6.3699 9.5139
angles (deg): 104.20 104.22 105.49
Atoms (fractional coordinates):
Ge (0.6708, 0.4208, 0.8415)
Ge (0.3292, 0.5792, 0.1585)
Cl (0.5674, 0.2998, 0.1183)
Cl (0.0509, 0.8185, 0.1183)
Cl (0.6625, 0.9113, 0.3458)
Cl (0.9491, 0.1815, 0.8817)
Cl (0.4326, 0.7002, 0.8817)
Cl (0.1832, 0.4345, 0.3458)
Cl (0.3375, 0.0887, 0.6542)
Cl (0.8168, 0.5655, 0.6542)
Ga (0.8373, 0.0873, 0.1746)
Ga (0.1627, 0.9127, 0.8254)

Output
raw formation energy = -0.738 eV per atom
symmetry = C2/c

Record 3
Here is a relaxed Mg2ZnAg4 crystal from the Alexandria database. Energies are from GGA-PBE.

a b c (Å): 5.6739 7.5777 9.5088
angles (deg): 129.71 106.11 101.16
Atoms (fractional coordinates):
Zn (0.0469, 0.9249, 0.0046)
Zn (0.3357, 0.8618, 0.5198)
Mg (0.7145, 0.4185, 0.8278)
Mg (0.0734, 0.1932, 0.6499)
Mg (0.5910, 0.9226, 0.1377)
Mg (0.5397, 0.4825, 0.3500)
Ag (0.2972, 0.0905, 0.3750)
Ag (0.8167, 0.6666, 0.2257)
Ag (0.8400, 0.0480, 0.8081)
Ag (0.9068, 0.4938, 0.6123)
Ag (0.4575, 0.6256, 0.7020)
Ag (0.3913, 0.0971, 0.9055)
Ag (0.9768, 0.3484, 0.2616)
Ag (0.2625, 0.5764, 0.1200)

Output
energy above the lowest structure with this stoichiometry = 0.005 eV per atom
formation energy from the elements = -0.528 eV/f.u.
symmetry = P1

Record 4
Here is a relaxed La6Pr2YTm crystal from the Alexandria database. Energies are from GGA-PBE.

a b c (Å): 9.3353 9.1556 9.1556
angles (deg): 114.61 89.29 89.29
Atoms (fractional coordinates):
La (0.5891, 0.4240, 0.7252)
La (0.6806, 0.9636, 0.5258)
La (0.0972, 0.0712, 0.7810)
La (0.9028, 0.9288, 0.2190)
La (0.5972, 0.7810, 0.0712)
La (0.8194, 0.4742, 0.0364)
La (0.0891, 0.7252, 0.4240)
La (0.4028, 0.2190, 0.9288)
La (0.3194, 0.0364, 0.4742)
La (0.4109, 0.5760, 0.2748)
La (0.1806, 0.5258, 0.9636)
La (0.9109, 0.2748, 0.5760)
Tm (0.2500, 0.4363, 0.5637)
Tm (0.7500, 0.5637, 0.4363)
Y (0.2500, 0.9274, 0.0726)
Y (0.7500, 0.0726, 0.9274)
Pr (0.0614, 0.2966, 0.2077)
Pr (0.4386, 0.7923, 0.7034)
Pr (0.5614, 0.2077, 0.2966)
Pr (0.9386, 0.7034, 0.7923)

Output
formation energy from the elements = 1.124 eV/f.u.
symmetry = C2/c

Record 5
Here is a relaxed CuAs4Ru crystal from the Alexandria database. Energies are from GGA-PBE.

a b c (Å): 5.3712 5.3712 5.3712
angles (deg): 60.00 60.00 60.00
Each line ends with the local moment (μB).
Atoms (fractional coordinates):
As (0.8737, 0.3754, 0.3754)  0.04
As (0.3754, 0.8737, 0.3754)  0.04
As (0.3754, 0.3754, 0.8737)  0.04
As (0.3754, 0.3754, 0.3754)  0.04
Ru (0.0000, 0.0000, 0.0000)  1.20
Cu (0.7500, 0.7500, 0.7500)  0.02

Output
formation energy from the elements = 5.004 eV/f.u.
symmetry = F-43m

Record 6
Here is a relaxed CePmZn2In2 crystal from the Alexandria database. Energies are from GGA-PBE.

a b c (Å): 4.7599 4.7599 7.4096
angles (deg): 90.00 90.00 120.00
Each line ends with the local moment (μB).
Atoms (fractional coordinates):
Zn (0.3333, 0.6667, 0.2341)  0.00
Zn (0.6667, 0.3333, 0.7659)  0.00
In (0.6667, 0.3333, 0.2413)  -0.01
In (0.3333, 0.6667, 0.7587)  -0.01
Ce (0.0000, 0.0000, 0.0000)  0.64
Pm (0.0000, 0.0000, 0.5000)  0.07

Output
formation energy from the elements = -2.319 eV/f.u.
symmetry = P-3m1